Material: BeCrTeI2
Method: DFT, PBE
State: optimized geometry

a b c (Å): 5.2474 5.2474 5.1423
angles (deg): 90.00 90.00 90.00
Last column: nearest neighbours and their distance in Å.
Space group P4/mmm (No. 123)
Unique sites:
1 Be 0.0000 0.0000 0.0000 (multiplicity 1)  2 Te 2.57, 4 I 2.62
2 Cr 0.5000 0.5000 0.5000 (multiplicity 1)  8 I 3.67, 4 Te 3.71
3 Te 0.0000 0.0000 0.5000 (multiplicity 1)  2 Be 2.57
4 I 0.0000 0.5000 0.0000 (multiplicity 2)  2 Be 2.62

Values from the calculation:
The value obtained for the calculated total energy is -3.39 eV per atom.

=====

Material: BeZnCr2I
Method: DFT, PBE
State: optimized geometry

a b c (Å): 4.5868 4.5868 4.9526
angles (deg): 90.00 90.00 90.00
Last column: nearest neighbours and their distance in Å.
Space group P4/mmm (No. 123)
Unique sites:
1 Be 0.0000 0.0000 0.0000 (multiplicity 1)  4 Cr 2.29, 2 I 2.48
2 Zn 0.5000 0.5000 0.5000 (multiplicity 1)  4 I 3.24, 8 Cr 3.38
3 Cr 0.0000 0.5000 0.0000 (multiplicity 2)  2 Be 2.29
4 I 0.0000 0.0000 0.5000 (multiplicity 1)  2 Be 2.48

Values from the calculation:
The value obtained for the calculated total energy is -4.07 eV per atom.

=====

Material: Be2CrIn
Method: DFT, PBE
State: optimized geometry

a b c (Å): 6.0615 6.0615 6.0615
angles (deg): 90.00 90.00 90.00
Last column: nearest neighbours and their distance in Å.
Space group F-43m (No. 216)
Unique sites:
1 Be 0.0000 0.0000 0.0000 (multiplicity 4)  4 Cr 2.62, 4 Be 2.62
2 Be 0.2500 0.2500 0.2500 (multiplicity 4)  4 In 2.62, 4 Be 2.62
3 Cr 0.2500 0.2500 0.7500 (multiplicity 4)  4 In 2.62, 4 Be 2.62
4 In 0.0000 0.0000 0.5000 (multiplicity 4)  4 Cr 2.62, 4 Be 2.62

Values from the calculation:
The value obtained for the calculated total energy is -4.43 eV per atom.

=====

Material: BeCr2In
Method: DFT, PBE
State: optimized geometry

a b c (Å): 3.1796 4.0329 4.3383
angles (deg): 90.00 90.00 90.00
Last column: nearest neighbours and their distance in Å.
Space group Pmmm (No. 47)
Unique sites:
1 Be 0.0000 0.0000 0.0000 (multiplicity 1)  4 In 2.57, 4 Cr 2.69
2 Cr 0.0000 0.5000 0.5000 (multiplicity 1)  4 Cr 2.57, 4 In 2.69
3 Cr 0.5000 0.0000 0.5000 (multiplicity 1)  4 Cr 2.57, 4 Be 2.69
4 In 0.5000 0.5000 0.0000 (multiplicity 1)  4 Be 2.57, 4 Cr 2.69

Values from the calculation:
The value obtained for the calculated total energy is -6.06 eV per atom.

=====

| no. | D(E_F) (states/eV/f.u.) | total moment (μB/f.u.) |
| --- | --- | --- |
| 1 | 4.53 | 4.4 |
| 2 | 3.38 | 8.0 |
| 3 | 2.06 | 3.5 |
| 4 | 1.73 | 0.1 |